Computed, not measured: SrCa2Sb after structural relaxation at the GGA-PBE level of DFT.

## Properties
Calculated volume in Å³/atom: 34.38
Total magnetic moment in μB/cell: 0.014
Space group: No. 119
Formation energy without anion corrections in eV/atom: -0.4156

The structure in POSCAR format:
```
SrCa2Sb
1.0
6.5344 0.0022 0.0000
2.7021 5.9495 0.0000
-4.6182 -2.9759 3.5376
Sb Ca Sr
1 2 1
Direct
0.5000 0.5000 0.0000
0.2500 0.7500 0.5000
0.0000 0.0000 0.0000
0.7500 0.2500 0.5000
```